[1]
# Al2FeHg (PBE-GGA, relaxed)
data_Al2FeHg
_chemical_formula_sum 'Al2 Fe1 Hg1'
_cell_length_a 2.835
_cell_length_b 2.835
_cell_length_c 8.244
_cell_angle_alpha 90.00
_cell_angle_beta 90.00
_cell_angle_gamma 90.00
_space_group_name_H-M_alt 'P 4 m m'
_space_group_IT_number 99
loop_
_space_group_symop_operation_xyz
'x,y,z'
'-y,x,z'
'-x,-y,z'
'y,-x,z'
'-x,y,z'
'y,x,z'
'x,-y,z'
'-y,-x,z'
loop_
_atom_site_label
_atom_site_type_symbol
_atom_site_fract_x
_atom_site_fract_y
_atom_site_fract_z
_atom_site_occupancy
Al1 Al 0.000 0.000 0.000 1
Al2 Al 0.500 0.500 0.252 1
Fe1 Fe 0.000 0.000 0.453 1
Hg1 Hg 0.500 0.500 0.708 1
# Formation energy from the elements, eV/atom: 0.16

=====

[2]
# KCaNb (PBE-GGA, relaxed)
data_KCaNb
_chemical_formula_sum 'K2 Ca2 Nb2'
_cell_length_a 3.660
_cell_length_b 3.660
_cell_length_c 16.470
_cell_angle_alpha 90.00
_cell_angle_beta 90.08
_cell_angle_gamma 90.00
_space_group_name_H-M_alt 'P 1 21/m 1'
_space_group_IT_number 11
loop_
_space_group_symop_operation_xyz
'x,y,z'
'-x,-y,-z'
'-x,y+1/2,-z'
'x,-y+1/2,z'
loop_
_atom_site_label
_atom_site_type_symbol
_atom_site_fract_x
_atom_site_fract_y
_atom_site_fract_z
_atom_site_occupancy
K1 K 0.247 0.250 0.121 1
Ca1 Ca 0.251 0.250 0.664 1
Nb1 Nb 0.250 0.250 0.469 1
# Energy relative to the lowest polymorph listed for this composition, meV per atom: 0
# Formation energy from the elements, eV/atom: 0.28

=====

[3]
The following is a DFT calculation (PBE-GGA) of Hf3Zr2H4 after structural relaxation.

Structure (CIF):
```
data_Hf3Zr2H4
_chemical_formula_sum 'Hf6 Zr4 H8'
_cell_length_a 10.397
_cell_length_b 3.033
_cell_length_c 7.948
_cell_angle_alpha 90.00
_cell_angle_beta 108.47
_cell_angle_gamma 90.00
_space_group_name_H-M_alt 'C 1 2/m 1'
_space_group_IT_number 12
loop_
_space_group_symop_operation_xyz
'x,y,z'
'-x,-y,-z'
'-x,y,-z'
'x,-y,z'
'x+1/2,y+1/2,z'
'-x+1/2,-y+1/2,-z'
'-x+1/2,y+1/2,-z'
'x+1/2,-y+1/2,z'
loop_
_atom_site_label
_atom_site_type_symbol
_atom_site_fract_x
_atom_site_fract_y
_atom_site_fract_z
_atom_site_occupancy
Hf1 Hf 0.000 0.000 0.000 1
Hf2 Hf 0.106 0.500 0.393 1
Zr1 Zr 0.202 0.500 0.796 1
H1 H 0.082 0.000 0.610 1
H2 H 0.157 0.500 0.047 1
```

=====

[4]
# PrTaAl2O8 (PBE-GGA, relaxed)
data_PrTaAl2O8
_chemical_formula_sum 'Pr1 Ta1 Al2 O8'
_cell_length_a 5.5591
_cell_length_b 5.5591
_cell_length_c 6.6041
_cell_angle_alpha 90.00
_cell_angle_beta 90.00
_cell_angle_gamma 120.00
_space_group_name_H-M_alt 'P -3 m 1'
_space_group_IT_number 164
_space_group_name_Hall '-P 3 2"'
loop_
_atom_site_label
_atom_site_type_symbol
_atom_site_fract_x
_atom_site_fract_y
_atom_site_fract_z
_atom_site_occupancy
Pr1 Pr 0.0000 0.0000 0.0000 1
Ta1 Ta 0.0000 0.0000 0.5000 1
Al1 Al 0.3333 0.6667 0.7592 1
O1 O 0.1580 0.3159 0.6923 1
O2 O 0.3333 0.6667 0.0302 1
# ΔE_f (raw), eV per atom: -2.490

=====

One value per record, in order, for energy: -3.903; -4.109; -6.869; -7.805 eV/atom.
One value per record, in order, for calculated density: 7.78; 2.59; 10.09; 4.73 g cm⁻³.